Version P
Mg7Si4 | the Alexandria database | PBE-GGA | relaxed; total moment = 0.00 μB per formula unit; DOS at the Fermi energy = 3.5 states/eV/f.u.; space-group type = P1 (1)
1.0
5.500 0.000 0.000
0.012 6.236 0.000
1.358 3.076 13.102
Mg Si
14 8
Direct
0.000 0.000 0.000
0.002 0.503 0.982
0.239 0.548 0.401
0.242 0.022 0.441
0.387 0.930 0.666
0.405 0.439 0.629
0.519 0.250 0.990
0.526 0.777 0.943
0.595 0.119 0.234
0.707 0.290 0.434
0.725 0.778 0.460
0.761 0.636 0.191
0.844 0.133 0.780
0.859 0.636 0.747
0.039 0.909 0.276
0.051 0.293 0.274
0.326 0.152 0.823
0.328 0.476 0.133
0.337 0.861 0.139
0.341 0.546 0.815
0.900 0.016 0.596
0.927 0.414 0.585

Version Q
Mg7Si4 | the Alexandria database | PBE-GGA | relaxed; total moment = 0.00 μB per formula unit; DOS at the Fermi energy = 4.0 states/eV/f.u.; space-group type = P1 (1)
1.0
5.255 0.000 0.000
-0.008 6.185 0.000
-0.547 -2.966 13.528
Mg Si
14 8
Direct
0.000 0.000 0.000
0.000 0.497 0.384
0.014 0.991 0.395
0.035 0.493 0.004
0.091 0.341 0.588
0.221 0.832 0.581
0.262 0.262 0.203
0.480 0.738 0.322
0.494 0.965 0.860
0.506 0.264 0.430
0.516 0.817 0.089
0.528 0.487 0.885
0.986 0.169 0.783
0.999 0.674 0.792
0.031 0.823 0.177
0.476 0.197 0.705
0.490 0.588 0.701
0.519 0.277 0.035
0.721 0.634 0.558
0.723 0.020 0.565
0.748 0.122 0.252
0.776 0.467 0.183

Which structure loses on stability? version Q does.

Version P
Si2SnRhO | the Alexandria database | PBE-GGA | relaxed; total moment = 0.00 μB per formula unit; DOS at the Fermi energy = 1.9 states/eV/f.u.; space-group type = Pm (6)
1.0
5.630 0.000 0.000
0.000 2.952 0.000
-1.168 0.000 5.764
Si Sn Rh O
2 1 1 1
Direct
0.000 0.000 0.000
0.432 0.000 0.763
0.015 0.000 0.451
0.756 0.500 0.725
0.298 0.000 0.994

Version Q
Si2SnRhO | the Alexandria database | PBE-GGA | relaxed; total moment = 0.00 μB per formula unit; DOS at the Fermi energy = 1.6 states/eV/f.u.; space-group type = P1 (1)
1.0
3.191 0.000 0.000
0.768 4.699 0.000
0.313 1.622 5.465
Si Sn Rh O
2 1 1 1
Direct
0.000 0.000 0.000
0.012 0.266 0.305
0.852 0.637 0.659
0.490 0.179 0.654
0.990 0.622 0.108

Which structure loses on stability? version Q does.

Version P
In3Re | the Alexandria database | PBE-GGA | relaxed; total moment = 0.68 μB per formula unit; DOS at the Fermi energy = 2.3 states/eV/f.u.; space-group type = Pmm2 (25)
1.0
3.114 0.000 0.000
0.000 5.028 0.000
0.000 0.000 5.205
In Re
3 1
Direct
0.000 0.000 0.000
0.000 0.500 0.332
0.500 0.000 0.520
0.500 0.500 0.825

Version Q
In3Re | the Alexandria database | PBE-GGA | relaxed; total moment = 0.00 μB per formula unit; DOS at the Fermi energy = 2.7 states/eV/f.u.; space-group type = Imm2 (44)
1.0
-1.783 4.542 2.616
1.783 -4.542 2.616
1.783 4.542 -2.616
In Re
3 1
Direct
0.000 0.000 0.000
0.197 0.419 0.779
0.640 0.419 0.221
0.592 0.092 0.500

Which structure loses on stability? version P does.

Version P
MgBe2B | the Alexandria database | PBE-GGA | relaxed; total moment = 0.00 μB per formula unit; DOS at the Fermi energy = 0.6 states/eV/f.u.; space-group type = Cm (8)
1.0
2.893 -1.670 0.000
2.893 1.670 0.000
-1.879 0.000 4.499
Mg Be B
1 2 1
Direct
0.000 0.000 0.000
0.190 0.190 0.571
0.471 0.471 0.414
0.817 0.817 0.451

Version Q
MgBe2B | the Alexandria database | PBE-GGA | relaxed; total moment = 0.00 μB per formula unit; DOS at the Fermi energy = 0.5 states/eV/f.u.; space-group type = F-43m (216)
1.0
0.000 2.726 2.726
2.726 0.000 2.726
2.726 2.726 0.000
Mg Be B
1 2 1
Direct
0.000 0.000 0.000
0.250 0.250 0.250
0.500 0.500 0.500
0.750 0.750 0.750

Which structure loses on stability? version Q does.